RbTlCl3, optimized geometry, DFT PBE; DOS at the Fermi energy = 1.61 states/eV per cell; E_form (uncorrected) = -1122.8 meV per atom; total moment = 0.0000 μB/atom; SG = Amm2, No. 38
1.0
-1.4332 -2.2246 3.7078
-7.7745 2.2311 -1.6665
2.4908 -7.1392 -3.3206
Tl Rb Cl
1 1 3
Cartesian
-1.8230 -3.2015 -2.6255
0.9775 -7.5242 -1.3383
-1.8293 -3.0878 0.2385
-3.8648 -4.9785 -1.6826
0.1314 -4.9855 -2.9404